This record from Alexandria describes an optimized crystal structure of LaVHS2. The functional is PBE.

The total energy comes out at -6.292 eV/atom. The value obtained for the density of states at the Fermi level is 2.520 states/eV/cell.

The structure belongs to space group P4/mmm (No. 123); the cell edges are 4.798, 4.798 and 3.714 Å and the angles 90.00°, 90.00° and 90.00°. The distinct sites, in fractional coordinates, are La at (0.000, 0.000, 0.000), V at (0.500, 0.500, 0.500), H at (0.500, 0.500, 0.000) and S at (0.000, 0.500, 0.500).